Below is an optimized crystal structure of Lu2Pd, with properties calculated at the GGA-PBE level.

Energy   -3.9572 eV/atom
DFT formation energy   783.7 meV per atom

Cell lengths 12.038, 12.038, 12.038 Å; angles 90.00, 90.00, 90.00 degrees
Space group Fd-3m (No. 227, origin choice 2)
Unique sites:
Lu: 0.000 0.000 0.000
Pd: 0.125 0.125 0.125


Below is an optimized crystal structure of Lu3Pd5, with properties calculated at the GGA-PBE level.

Energy   -5.9288 eV/atom
DFT formation energy   -997.9 meV per atom

Cell lengths 9.042, 7.030, 9.391 Å; angles 90.00, 90.00, 90.00 degrees
Space group Cmcm (No. 63)
Unique sites:
Lu: 0.000 0.108 0.250
Lu: 0.205 0.500 0.000
Pd: 0.000 0.194 0.542
Pd: 0.000 0.494 0.750
Pd: 0.226 0.223 0.750


Below is an optimized crystal structure of PrLuPd, with properties calculated at the GGA-PBE level.

Energy   -5.2672 eV/atom
DFT formation energy   -442.6 meV per atom
Offset from the most stable computed form   0 meV/atom

Cell lengths 6.962, 6.962, 6.962 Å; angles 90.00, 90.00, 90.00 degrees
Space group F-43m (No. 216)
Unique sites:
Pr: 0.000 0.000 0.000
Lu: 0.000 0.000 0.500
Pd: 0.250 0.250 0.750


Below is an optimized crystal structure of LuPdPt, with properties calculated at the GGA-PBE level.

Energy   -5.8803 eV/atom
DFT formation energy   -628.7 meV per atom
Offset from the most stable computed form   148 meV/atom

Cell lengths 6.351, 6.351, 6.351 Å; angles 90.00, 90.00, 90.00 degrees
Space group F-43m (No. 216)
Unique sites:
Lu: 0.000 0.000 0.000
Pd: 0.250 0.250 0.750
Pt: 0.250 0.250 0.250